1.
{"formula": "TaRe2W", "functional": "PBE", "state": "relaxed", "lattice_angstrom": [[-1.4124, 1.6070, 1.7388], [-0.5176, -2.6549, 0.5333], [6.8845, -0.1845, 5.7629]], "species": ["Ta", "Re", "Re", "W"], "fractional_positions": [[0.0000, 0.0000, 0.4975], [0.5000, 0.5000, 0.2457], [0.0000, 0.0000, 0.0008], [0.5000, 0.5000, 0.7560]], "sg": "No. 35", "dos_ef_per_ev_fu": 3.31, "delta_e_f_mev_per_atom": 40, "mass_density_g_cm3": 19.094, "polymorph_energy_ev_per_fu": 0.83, "volume_a3_per_cell": 64.1}

2.
{"formula": "Ta6ReW", "functional": "PBE", "state": "relaxed", "lattice_angstrom": [[4.5987, 0.0000, 0.0000], [0.0000, 5.5908, 0.9113], [0.0000, 0.9823, 5.5788]], "species": ["Re", "Ta", "Ta", "Ta", "Ta", "Ta", "Ta", "W"], "fractional_positions": [[0.5000, 0.5000, 0.5000], [0.0000, 0.2480, 0.2480], [0.0000, 0.2527, 0.7473], [0.5000, 0.0000, 0.5000], [0.0000, 0.7520, 0.7520], [0.0000, 0.7473, 0.2527], [0.5000, 0.5000, 0.0000], [0.5000, 0.0000, 0.0000]], "sg": "No. 65", "dos_ef_per_ev_fu": 9.49, "delta_e_f_mev_per_atom": -126, "mass_density_g_cm3": 17.351, "polymorph_energy_ev_per_fu": 0.00, "volume_a3_per_cell": 139.3}

3.
{"formula": "Ta6ReW", "functional": "PBE", "state": "relaxed", "lattice_angstrom": [[5.6548, -0.8061, -0.9118], [-1.4189, 5.5329, -0.9118], [-1.4189, -1.5833, 5.3794]], "species": ["Ta", "Ta", "Ta", "Ta", "W", "Re", "Ta", "Ta"], "fractional_positions": [[0.7503, 0.7503, 0.2481], [0.2497, 0.7519, 0.2497], [0.2497, 0.2497, 0.7519], [0.2481, 0.7503, 0.7503], [0.5000, 0.5000, 0.5000], [0.0000, 0.0000, 0.0000], [0.7503, 0.2481, 0.7503], [0.7519, 0.2497, 0.2497]], "sg": "No. 166", "dos_ef_per_ev_fu": 5.88, "delta_e_f_mev_per_atom": 143, "mass_density_g_cm3": 16.817, "polymorph_energy_ev_per_fu": 2.16, "volume_a3_per_cell": 143.7}